Rb2SeS2 (SCAN, single point on PBEsol structure); raw formation energy = -0.666 eV per atom; calculated volume = 258.6 Å³ per cell; total DFT energy (no corrections) = -168.28 eV/cell; crystal system = tetragonal; size of the total moment = 0.0 μB/cell
1.0
7.166 0.000 0.000
0.000 7.166 0.000
0.000 0.000 5.035
Rb Se S
4 2 4
Cartesian
1.127 2.456 0.000 Rb
2.456 6.039 0.000 Rb
4.710 1.127 0.000 Rb
6.039 4.710 0.000 Rb
0.000 0.000 2.518 Se
3.583 3.583 2.518 Se
1.183 4.766 2.518 S
2.400 1.183 2.518 S
4.766 5.983 2.518 S
5.983 2.400 2.518 S

=====

LiTlCo3 (SCAN, single point on PBEsol structure); calculated volume = 109.3 Å³ per cell; total DFT energy (no corrections) = -119.44 eV/cell; crystal system = cubic; size of the total moment = 6.1 μB/cell
1.0
4.781 0.000 0.000
0.000 4.781 0.000
0.000 0.000 4.781
Li Tl Co
1 1 3
Cartesian
0.000 0.000 0.000 Li
2.391 2.391 2.391 Tl
0.000 2.391 2.391 Co
2.391 0.000 2.391 Co
2.391 2.391 0.000 Co

=====

ScReSi3 (SCAN, single point on PBEsol structure); raw formation energy = 0.482 eV per atom; calculated volume = 98.8 Å³ per cell; total DFT energy (no corrections) = -112.97 eV/cell; crystal system = cubic; size of the total moment = 0.0 μB/cell
1.0
4.623 0.000 0.000
0.000 4.623 0.000
0.000 0.000 4.623
Sc Re Si
1 1 3
Cartesian
0.000 0.000 0.000 Sc
2.312 2.312 2.312 Re
0.000 2.312 2.312 Si
2.312 0.000 2.312 Si
2.312 2.312 0.000 Si

=====

Y3AsP (SCAN, single point on PBEsol structure); calculated volume = 134.7 Å³ per cell; total DFT energy (no corrections) = -117.78 eV/cell; crystal system = cubic; size of the total moment = 0.0 μB/cell
1.0
5.126 0.000 0.000
0.000 5.126 0.000
0.000 0.000 5.126
Y As P
3 1 1
Cartesian
0.000 0.000 2.563 Y
0.000 2.563 0.000 Y
2.563 0.000 0.000 Y
2.563 2.563 2.563 As
0.000 0.000 0.000 P

=====

TcHgOs2 (SCAN, single point on PBEsol structure); calculated volume = 61.5 Å³ per cell; total DFT energy (no corrections) = -242.99 eV/cell; crystal system = orthorhombic; size of the total moment = 0.0 μB/cell
1.0
2.821 0.000 0.000
0.000 4.631 0.000
0.000 0.000 4.708
Tc Hg Os
1 1 2
Cartesian
0.000 0.000 0.000 Tc
1.411 0.000 2.354 Hg
0.000 2.316 2.354 Os
1.411 2.316 0.000 Os

=====

ZrScW (SCAN, single point on PBEsol structure); calculated volume = 119.6 Å³ per cell; total DFT energy (no corrections) = -227.93 eV/cell; crystal system = tetragonal; size of the total moment = 0.0 μB/cell
1.0
3.390 0.000 0.000
0.000 3.390 0.000
0.000 0.000 10.411
Zr Sc W
2 2 2
Cartesian
0.000 0.000 0.000 Zr
1.695 1.695 5.206 Zr
0.000 0.000 7.374 Sc
1.695 1.695 2.169 Sc
0.000 0.000 3.821 W
1.695 1.695 9.027 W

=====

Sc2CdTe (SCAN, single point on PBEsol structure); raw formation energy = -0.639 eV per atom; calculated volume = 87.2 Å³ per cell; total DFT energy (no corrections) = -98.69 eV/cell; crystal system = tetragonal; size of the total moment = 1.3 μB/cell
1.0
3.665 0.000 0.000
0.000 3.665 0.000
0.000 0.000 6.492
Sc Cd Te
2 1 1
Cartesian
0.000 0.000 1.598 Sc
0.000 0.000 4.894 Sc
1.832 1.832 3.246 Cd
1.832 1.832 0.000 Te

=====

Ag2MoRh (SCAN, single point on PBEsol structure); calculated volume = 183.5 Å³ per cell; total DFT energy (no corrections) = -389.46 eV/cell; crystal system = trigonal; size of the total moment = 0.6 μB/cell
1.0
2.737 0.000 0.000
-1.368 2.370 0.000
0.000 0.000 28.295
Ag Mo Rh
6 3 3
Cartesian
0.000 0.000 7.029 Ag
0.000 0.000 21.266 Ag
0.000 1.580 11.834 Ag
0.000 1.580 25.893 Ag
1.368 0.790 2.402 Ag
1.368 0.790 16.461 Ag
0.000 0.000 0.000 Mo
0.000 1.580 18.863 Mo
1.368 0.790 9.432 Mo
0.000 0.000 14.148 Rh
0.000 1.580 4.716 Rh
1.368 0.790 23.579 Rh